(1)
Below is a relaxed PmTeOs crystal, with properties calculated at the PBE-GGA level.

a b c (Å): 3.8854 3.8618 11.8768
angles (deg): 90.00 90.00 120.20
Fractional positions:
Os1 0.6130 0.2260 0.0000
Os2 0.2770 0.5540 0.5000
Te1 0.6113 0.2226 0.3687
Te2 0.6113 0.2226 0.6313
Pm1 0.2770 0.5540 0.8502
Pm2 0.2770 0.5540 0.1498

Output
Symmetry   Amm2

=====

(2)
Below is a relaxed Ac2Tb6Tm5 crystal, with properties calculated at the PBE-GGA level.

a b c (Å): 3.6371 11.8880 20.2151
angles (deg): 90.00 90.00 90.00
Fractional positions:
Ac1 0.0000 0.3396 0.2789
Ac2 0.0000 0.6604 0.7211
Ac3 0.0000 0.8396 0.2211
Ac4 0.0000 0.1604 0.7789
Tb1 0.0000 0.0762 0.3628
Tb2 0.0000 0.9238 0.6372
Tb3 0.0000 0.5762 0.1372
Tb4 0.0000 0.4238 0.8628
Tb5 0.5000 0.3191 0.1178
Tb6 0.5000 0.6809 0.8822
Tb7 0.5000 0.8191 0.3822
Tb8 0.5000 0.1809 0.6178
Tb9 0.0000 0.5585 0.4247
Tb10 0.0000 0.4415 0.5753
Tb11 0.0000 0.0585 0.0753
Tb12 0.0000 0.9415 0.9247
Tm1 0.5000 0.2997 0.4477
Tm2 0.5000 0.7003 0.5523
Tm3 0.5000 0.7997 0.0523
Tm4 0.5000 0.2003 0.9477
Tm5 0.5000 0.6008 0.2819
Tm6 0.5000 0.3992 0.7181
Tm7 0.5000 0.1008 0.2181
Tm8 0.5000 0.8992 0.7819
Tm9 0.5000 0.5000 0.0000
Tm10 0.5000 0.0000 0.5000

Output
Symmetry   Pbam
Formation energy   122 meV per atom

=====

(3)
Below is a relaxed TaVAs2Se crystal, with properties calculated at the PBE-GGA level.

a b c (Å): 4.6895 4.6895 4.7661
angles (deg): 90.00 90.00 90.00
Fractional positions:
As1 0.0000 0.5000 0.0000
As2 0.5000 0.0000 0.0000
V1 0.0000 0.0000 0.0000
Se1 0.0000 0.0000 0.5000
Ta1 0.5000 0.5000 0.5000

Output
Symmetry   P4/mmm
Distance to the lowest polymorph of the same formula   0 meV per atom

=====

(4)
Below is a relaxed Tm3ThAu4 crystal, with properties calculated at the PBE-GGA level.

a b c (Å): 5.0422 5.0422 8.9984
angles (deg): 73.73 73.73 60.00
Fractional positions:
Tm1 0.2469 0.2469 0.2592
Tm2 0.7531 0.7531 0.7408
Tm3 0.5000 0.5000 0.5000
Au1 0.8724 0.8724 0.3827
Au2 0.3819 0.3819 0.8542
Au3 0.1276 0.1276 0.6173
Au4 0.6181 0.6181 0.1458
Th1 0.0000 0.0000 0.0000

Output
Symmetry   R-3m
Formation energy   -793 meV per atom

=====

Total moment, respectively: 0.00 0.00 0.53 0.00 μB per atom.
E, respectively: -37.55 -113.55 -30.03 -40.29 eV for the cell shown.